(1)
Density functional theory data (PBE) for a relaxed Na3PH crystal.

Results
**Raw total energy**: -2.710 eV per atom
**Space-group type**: P-1
**Distance to the lowest polymorph of the same formula**: 0.0 meV per atom
**M_tot**: 0.00 μB/f.u.

Cell and atoms, written as POSCAR:
```
Na3PH
1.0
3.922 -0.002 -0.002
1.959 5.799 -0.276
-0.003 2.182 9.034
Na P H
6 2 2
Direct
0.235 0.101 0.317
0.502 0.565 0.132
0.187 0.195 0.927
0.708 0.153 0.630
0.454 0.660 0.742
0.980 0.608 0.429
0.805 0.959 0.127
0.884 0.801 0.932
0.092 0.384 0.679
0.595 0.377 0.380
```

=====

(2)
Density functional theory data (PBE) for a relaxed Na4PH crystal.

Results
**Raw total energy**: -2.549 eV per atom
**Space-group type**: P2_1/c
**M_tot**: 0.00 μB/f.u.

Cell and atoms, written as POSCAR:
```
Na4PH
1.0
-4.325 1.829 -5.019
-5.147 -0.566 4.229
1.315 5.616 2.351
Na P H
8 2 2
Direct
0.856 0.682 0.210
0.644 0.182 0.790
0.282 0.276 0.277
0.218 0.776 0.723
0.144 0.318 0.790
0.356 0.818 0.210
0.718 0.724 0.723
0.782 0.224 0.277
0.000 0.000 0.000
0.500 0.500 0.000
0.500 0.000 0.500
0.000 0.500 0.500
```

=====

(3)
Density functional theory data (PBE) for a relaxed Na2PH2 crystal.

Results
**Raw total energy**: -2.866 eV per atom
**Space-group type**: I4/mmm
**Distance to the lowest polymorph of the same formula**: 0.0 meV per atom
**M_tot**: 0.00 μB/f.u.

Cell and atoms, written as POSCAR:
```
Na2PH2
1.0
-1.140 4.941 -0.781
-4.987 -1.059 0.580
-2.839 2.442 2.741
P H Na
1 2 2
Direct
0.000 0.000 0.000
0.276 0.276 0.448
0.724 0.724 0.552
0.750 0.250 0.500
0.250 0.750 0.500
```